Computed, not measured: a relaxed KNa3Pb crystal at the PBE level of DFT.

Cell: 10.488 10.488 7.866 Å, 101.10 101.10 71.27°
Fractional coordinates of all 20 atoms:
K (0.048, 0.952, 0.750)
K (0.368, 0.632, 0.250)
K (0.632, 0.368, 0.750)
K (0.952, 0.048, 0.250)
Na (0.012, 0.341, 0.071)
Na (0.026, 0.356, 0.602)
Na (0.320, 0.323, 0.405)
Na (0.323, 0.320, 0.905)
Na (0.341, 0.012, 0.571)
Na (0.356, 0.026, 0.102)
Na (0.644, 0.974, 0.898)
Na (0.659, 0.988, 0.429)
Na (0.677, 0.680, 0.095)
Na (0.680, 0.677, 0.595)
Na (0.974, 0.644, 0.398)
Na (0.988, 0.659, 0.929)
Pb (0.234, 0.581, 0.699)
Pb (0.419, 0.766, 0.801)
Pb (0.581, 0.234, 0.199)
Pb (0.766, 0.419, 0.301)

For the calculated formation energy, the calculation gives -0.057 eV/atom. As for the density of states at the Fermi level: 0.56 states/eV per atom.

Computed, not measured: a relaxed Pm2TmIn crystal at the PBE level of DFT.

Cell: 5.517 5.517 5.517 Å, 60.00 60.00 60.00°
Fractional coordinates of all 4 atoms:
Pm (0.250, 0.250, 0.250)
Pm (0.750, 0.750, 0.750)
Tm (0.000, 0.000, 0.000)
In (0.500, 0.500, 0.500)

For the calculated formation energy, the calculation gives -0.159 eV/atom. As for the density of states at the Fermi level: 1.83 states/eV per atom.

Computed, not measured: a relaxed Ba2CdGa7 crystal at the PBE level of DFT.

Cell: 4.665 4.665 10.981 Å, 90.00 90.00 90.00°
Fractional coordinates of all 10 atoms:
Ba (0.000, 0.500, 0.244)
Ba (0.500, 0.000, 0.756)
Cd (0.000, 0.000, 0.500)
Ga (0.000, 0.000, 0.000)
Ga (0.000, 0.500, 0.635)
Ga (0.000, 0.500, 0.874)
Ga (0.500, 0.000, 0.126)
Ga (0.500, 0.000, 0.365)
Ga (0.500, 0.500, 0.000)
Ga (0.500, 0.500, 0.500)

For the calculated formation energy, the calculation gives -0.418 eV/atom. As for the density of states at the Fermi level: 0.34 states/eV per atom.

The lowest calculated formation energy belongs to which entry?
Ba2CdGa7

Number 1 is which compound?
KNa3Pb

Please write out number 1 again, unchanged.
Computed, not measured: a relaxed KNa3Pb crystal at the PBE level of DFT.

Cell: 10.488 10.488 7.866 Å, 101.10 101.10 71.27°
Fractional coordinates of all 20 atoms:
K (0.048, 0.952, 0.750)
K (0.368, 0.632, 0.250)
K (0.632, 0.368, 0.750)
K (0.952, 0.048, 0.250)
Na (0.012, 0.341, 0.071)
Na (0.026, 0.356, 0.602)
Na (0.320, 0.323, 0.405)
Na (0.323, 0.320, 0.905)
Na (0.341, 0.012, 0.571)
Na (0.356, 0.026, 0.102)
Na (0.644, 0.974, 0.898)
Na (0.659, 0.988, 0.429)
Na (0.677, 0.680, 0.095)
Na (0.680, 0.677, 0.595)
Na (0.974, 0.644, 0.398)
Na (0.988, 0.659, 0.929)
Pb (0.234, 0.581, 0.699)
Pb (0.419, 0.766, 0.801)
Pb (0.581, 0.234, 0.199)
Pb (0.766, 0.419, 0.301)

For the calculated formation energy, the calculation gives -0.057 eV/atom. As for the density of states at the Fermi level: 0.56 states/eV per atom.

Which of these has the highest calculated formation energy?
KNa3Pb